1.
# Li3NbV2Se6

Li3NbV2Se6 after structural relaxation (PBE, Alexandria via LeMat-Bulk).

Cell lengths 6.0429, 10.8435, 6.9666 Å; angles 90.00, 107.09, 90.00 degrees
Closest atoms and distances in Å follow each position.
Space group C2/m (No. 12)
One atom of each set of equivalent atoms:
Li  0.0000  0.0000  0.0000 x2  6 Se 2.58-2.83
Li  0.0000  0.3247  0.0000 x4  6 Se 2.63-2.78
Nb  0.0000  0.5000  0.5000 x2  6 Se 2.63-2.66
V  0.0000  0.1292  0.5000 x4  4 Se 2.44-2.52
Se  0.2470  0.5000  0.2409 x4  2 V 2.44, 3 Li 2.58-2.68, 1 Nb 2.66
Se  0.2480  0.3239  0.7220 x8  2 V 2.52-2.78, 1 Nb 2.63, 2 Li 2.63-2.78

Calculated values
Crystal system: monoclinic

=====

2.
# LiNbZn2Se

LiNbZn2Se after structural relaxation (PBE, Alexandria via LeMat-Bulk).

Cell lengths 5.1135, 5.1135, 5.3031 Å; angles 90.00, 90.00, 90.00 degrees
Closest atoms and distances in Å follow each position.
Space group P4/mmm (No. 123)
One atom of each set of equivalent atoms:
Li  0.0000  0.0000  0.0000 x1  2 Nb 2.65
Nb  0.0000  0.0000  0.5000 x1  4 Zn 2.56, 2 Li 2.65
Zn  0.0000  0.5000  0.5000 x2  2 Nb 2.56
Se  0.5000  0.5000  0.0000 x1  4 Li 3.62, 8 Zn 3.68

Calculated values
Crystal system: tetragonal

=====

3.
# Li2NbZnSe

Li2NbZnSe after structural relaxation (PBE, Alexandria via LeMat-Bulk).

Cell lengths 4.4532, 4.4532, 4.9692 Å; angles 90.00, 90.00, 90.00 degrees
Closest atoms and distances in Å follow each position.
Space group P4/mmm (No. 123)
One atom of each set of equivalent atoms:
Li  0.0000  0.5000  0.0000 x2  2 Se 2.23
Nb  0.0000  0.0000  0.5000 x1  2 Se 2.48
Zn  0.5000  0.5000  0.5000 x1  4 Nb 3.15, 8 Li 3.34
Se  0.0000  0.0000  0.0000 x1  4 Li 2.23, 2 Nb 2.48

Calculated values
Crystal system: tetragonal

=====

4.
# LiNbSi3

LiNbSi3 after structural relaxation (PBE, Alexandria via LeMat-Bulk).

Cell lengths 4.8836, 4.8836, 4.8836 Å; angles 90.00, 90.00, 90.00 degrees
Closest atoms and distances in Å follow each position.
Space group Pm-3m (No. 221)
One atom of each set of equivalent atoms:
Li  0.0000  0.0000  0.0000 x1  12 Si 3.45
Nb  0.5000  0.5000  0.5000 x1  6 Si 2.44
Si  0.0000  0.5000  0.5000 x3  2 Nb 2.44

Calculated values
Energy above the most stable polymorph in this dataset in kcal/mol of atoms: 0.000
Crystal system: cubic

=====

Sequential uncorrected energy output: -5.46; -2.51; -3.73; -5.25 eV per atom
Sequential E_form (uncorrected) output: -10.62; 5.48; 0.00; 2.01 eV per formula unit